(1)
The following is a GGA-PBE calculation of a geometry-optimized SrPuPa2N5 structure, from Alexandria.

For the total energy, the calculation gives -9.69 eV/atom. For the total moment, the calculation gives 5.00 μB/f.u. For the raw formation energy, the calculation gives -1172 meV/atom.

The structure belongs to space group I4/mcm (No. 140); the cell edges are 6.792, 6.792 and 12.342 Å and the angles 90.00°, 90.00° and 90.00°. The asymmetric unit holds Sr at (0.000, 0.000, 0.250), Pu at (0.000, 0.500, 0.250), Pa at (0.178, 0.322, 0.000), N at (0.000, 0.000, 0.000) and N at (0.154, 0.346, 0.380).

(2)
The following is a GGA-PBE calculation of a geometry-optimized Sr3PuPa3N8 structure, from Alexandria.

For the total energy, the calculation gives -8.91 eV/atom. For the total moment, the calculation gives 4.89 μB/f.u. For the raw formation energy, the calculation gives -1283 meV/atom.

The structure belongs to space group R-3m (No. 166, hexagonal axes); the cell edges are 7.1729, 7.1729 and 18.0254 Å and the angles 90.00°, 90.00° and 120.00°. The asymmetric unit holds Sr at (0.0000, 0.5000, 0.0000), Pu at (0.0000, 0.0000, 0.5000), Pa at (0.0000, 0.5000, 0.5000), N at (0.0000, 0.0000, 0.2353) and N at (0.0028, 0.5014, 0.7746).